Entry from the Alexandria database: a relaxed structure of Sm2DyMg4 (GGA-PBE).

Computed properties:
As for the excess energy over the best structure of this formula in the dataset: 237 meV per atom. The theoretical density is 4.28 Mg/m³. For the volume, the calculation gives 217.3 Å³/f.u. The total DFT energy (no corrections) comes out at -17.9 eV per formula unit. The formation energy comes out at 2.53 eV per formula unit.

abc: 6.0307 13.2051 5.4576
angles: 90.00 90.00 90.00
Last column: nearest neighbours and their distance in Å.
Space group Cmmm (No. 65)
One atom of each set of equivalent atoms:
Sm1 0.0000 0.1346 0.0000 [4 per cell]  5 Mg 3.03-3.30
Dy1 0.0000 0.5000 0.5000 [2 per cell]  6 Mg 3.12-3.13
Mg1 0.0000 0.2630 0.5000 [4 per cell]  4 Mg 3.03-3.17, 1 Dy 3.13, 2 Sm 3.21
Mg2 0.0000 0.3847 0.0000 [4 per cell]  3 Sm 3.03-3.30, 3 Mg 3.04-3.17, 2 Dy 3.12


Entry from the Alexandria database: a relaxed structure of Sm3DyMg4 (GGA-PBE).

Computed properties:
The theoretical density is 5.23 Mg/m³. For the volume, the calculation gives 225.5 Å³/f.u. The total DFT energy (no corrections) comes out at -25.9 eV per formula unit. The formation energy comes out at -0.75 eV per formula unit.

abc: 3.8298 3.8298 15.3751
angles: 90.00 90.00 90.00
Last column: nearest neighbours and their distance in Å.
Space group P4/mmm (No. 123)
One atom of each set of equivalent atoms:
Sm1 0.0000 0.0000 0.0000 [1 per cell]  8 Mg 3.33
Sm2 0.0000 0.0000 0.2529 [2 per cell]  8 Mg 3.33
Dy1 0.0000 0.0000 0.5000 [1 per cell]  8 Mg 3.29
Mg1 0.5000 0.5000 0.1265 [2 per cell]  8 Sm 3.33
Mg2 0.5000 0.5000 0.3789 [2 per cell]  4 Dy 3.29, 4 Sm 3.33


Entry from the Alexandria database: a relaxed structure of Sm2Dy3Mg3 (GGA-PBE).

Computed properties:
The theoretical density is 6.16 Mg/m³. For the volume, the calculation gives 232.1 Å³/f.u. The total DFT energy (no corrections) comes out at -28.4 eV per formula unit. The formation energy comes out at -0.42 eV per formula unit.

abc: 3.8020 5.4367 22.4530
angles: 90.00 90.00 90.00
Last column: nearest neighbours and their distance in Å.
Space group Immm (No. 71)
One atom of each set of equivalent atoms:
Sm1 0.0000 0.0000 0.2344 [4 per cell]  2 Mg 3.28, 4 Sm 3.39
Dy1 0.0000 0.0000 0.0000 [2 per cell]  8 Mg 3.21-3.32
Dy2 0.0000 0.5000 0.1229 [4 per cell]  6 Mg 3.32-3.35, 2 Sm 3.69
Mg1 0.0000 0.0000 0.5000 [2 per cell]  8 Dy 3.32-3.35
Mg2 0.0000 0.5000 0.3849 [4 per cell]  6 Dy 3.21-3.32, 2 Sm 3.28


Entry from the Alexandria database: a relaxed structure of SmDy3Mg6 (GGA-PBE).

Computed properties:
The theoretical density is 4.89 Mg/m³. For the volume, the calculation gives 266.2 Å³/f.u. The total DFT energy (no corrections) comes out at -28.8 eV per formula unit. The formation energy comes out at -0.69 eV per formula unit.

abc: 9.2796 5.2844 11.2870
angles: 90.00 105.87 90.00
Last column: nearest neighbours and their distance in Å.
Space group P2_1/m (No. 11)
One atom of each set of equivalent atoms:
Sm1 0.0528 0.2500 0.3962 [2 per cell]  8 Mg 3.21-3.35
Dy1 0.2495 0.2500 0.9970 [2 per cell]  8 Mg 3.21-3.33
Dy2 0.3517 0.7500 0.7970 [2 per cell]  8 Mg 3.27-3.34
Dy3 0.4572 0.2500 0.6039 [2 per cell]  8 Mg 3.21-3.37
Mg1 0.0486 0.7500 0.9028 [2 per cell]  3 Mg 3.18-3.22, 4 Dy 3.24-3.34, 1 Sm 3.25
Mg2 0.1457 0.2500 0.7015 [2 per cell]  4 Dy 3.21-3.36, 1 Mg 3.23, 3 Sm 3.24-3.31
Mg3 0.1469 0.7500 0.1953 [2 per cell]  8 Mg 3.18-3.23
Mg4 0.2471 0.7500 0.4927 [2 per cell]  3 Sm 3.22-3.35, 4 Dy 3.22-3.32, 1 Mg 3.23
Mg5 0.3428 0.2500 0.2937 [2 per cell]  1 Sm 3.21, 5 Dy 3.22-3.37, 2 Mg 3.23
Mg6 0.4430 0.7500 0.1002 [2 per cell]  1 Mg 3.21, 7 Dy 3.21-3.33


Entry from the Alexandria database: a relaxed structure of Sm15Dy2Mg2 (GGA-PBE).

Computed properties:
The theoretical density is 6.83 Mg/m³. For the volume, the calculation gives 639.4 Å³/f.u. The total DFT energy (no corrections) comes out at -78.8 eV per formula unit. The formation energy comes out at 4.34 eV per formula unit.

abc: 11.2556 11.2556 17.4840
angles: 90.00 90.00 120.00
Last column: nearest neighbours and their distance in Å.
Space group R-3m (No. 166, hexagonal axes)
One atom of each set of equivalent atoms:
Sm1 0.0000 0.2971 0.0000 [18 per cell]  6 Sm 3.34-3.38, 2 Mg 3.72
Sm2 0.0000 0.5000 0.5000 [9 per cell]  8 Sm 3.35-3.38, 2 Mg 3.50
Sm3 0.0136 0.5068 0.1405 [18 per cell]  6 Sm 3.25-3.36
Dy1 0.0000 0.0000 0.3192 [6 per cell]  1 Mg 3.96, 15 Sm 3.98-4.20
Mg1 0.0000 0.0000 0.0928 [6 per cell]  1 Mg 3.25, 3 Sm 3.50


Entry from the Alexandria database: a relaxed structure of Sm4Dy8Mg (GGA-PBE).

Computed properties:
The theoretical density is 6.90 Mg/m³. For the volume, the calculation gives 463.2 Å³/f.u. The total DFT energy (no corrections) comes out at -50.3 eV per formula unit. The formation energy comes out at 6.98 eV per formula unit.

abc: 10.9478 10.9478 13.3863
angles: 90.00 90.00 120.00
Last column: nearest neighbours and their distance in Å.
Space group R-3m (No. 166, hexagonal axes)
One atom of each set of equivalent atoms:
Sm1 0.0000 0.0000 0.0000 [3 per cell]  8 Dy 3.25-3.26
Sm2 0.0000 0.5000 0.0000 [9 per cell]  8 Dy 3.38
Dy1 0.0000 0.0000 0.2430 [6 per cell]  4 Sm 3.25-3.38, 1 Mg 3.44
Dy2 0.0091 0.5045 0.7475 [18 per cell]  4 Sm 3.26-3.38, 1 Mg 3.44
Mg1 0.0000 0.0000 0.5000 [3 per cell]  8 Dy 3.44


Question: Look up the theoretical density of the third one.
Answer: 6.16 Mg/m³


Question: Which of these has the highest volume?
Answer: Sm15Dy2Mg2